# 1
A relaxed Tm3Sc13 crystal, computed with PBE-GGA.

Values from the calculation:
**Spin magnetization**: 0.00 μB/f.u.

Cell and atoms, written as CIF:
```
data_Tm3Sc13
_chemical_formula_sum 'Tm6 Sc26'
_cell_length_a 6.726
_cell_length_b 10.453
_cell_length_c 11.622
_cell_angle_alpha 90.00
_cell_angle_beta 90.00
_cell_angle_gamma 90.00
_space_group_name_H-M_alt 'A m m 2'
_space_group_IT_number 38
loop_
_space_group_symop_operation_xyz
'x,y,z'
'-x,-y,z'
'-x,y,z'
'x,-y,z'
'x,y+1/2,z+1/2'
'-x,-y+1/2,z+1/2'
'-x,y+1/2,z+1/2'
'x,-y+1/2,z+1/2'
loop_
_atom_site_label
_atom_site_fract_x
_atom_site_fract_y
_atom_site_fract_z
_atom_site_occupancy
Tm1 0.000 0.000 0.000 1
Tm2 0.252 0.000 0.745 1
Sc1 0.000 0.000 0.495 1
Sc2 0.000 0.248 0.165 1
Sc3 0.251 0.000 0.250 1
Sc4 0.252 0.246 0.415 1
Sc5 0.500 0.000 0.000 1
Sc6 0.500 0.000 0.495 1
Sc7 0.500 0.243 0.164 1
```

---

# 2
A relaxed Tm4Sc5 crystal, computed with PBE-GGA.

Values from the calculation:
**Spin magnetization**: 0.00 μB/f.u.
**E above lowest polymorph**: 0.33 kcal/mol of atoms

Cell and atoms, written as CIF:
```
data_Tm4Sc5
_chemical_formula_sum 'Tm8 Sc10'
_cell_length_a 9.1724
_cell_length_b 9.1724
_cell_length_c 6.6112
_cell_angle_alpha 90.00
_cell_angle_beta 90.00
_cell_angle_gamma 120.00
_space_group_name_H-M_alt 'P 63/m c m'
_space_group_IT_number 193
_space_group_name_Hall '-P 6c 2'
loop_
_atom_site_label
_atom_site_fract_x
_atom_site_fract_y
_atom_site_fract_z
_atom_site_occupancy
Tm1 0.0000 0.0000 0.0000 1
Tm2 0.0000 0.3630 0.2500 1
Sc1 0.0000 0.3083 0.7500 1
Sc2 0.3333 0.6667 0.0000 1
```

---

Values for energy of formation from the pure elements, eV per atom, ordered as above
0.01, 0.07
Values for calculated volume, A^3/atom, ordered as above
25.53, 26.76
Values for raw total energy, eV/atom, ordered as above
-5.9729, -5.4381